Below is a geometry-optimized Be2ZnBr structure, with properties calculated at the PBE level.

a = 5.690 Å, b = 5.690 Å, c = 9.239 Å
α = 90.00°, β = 90.00°, γ = 90.00°
Space group I-42d (No. 122)
Unique sites:
Be 0.239 0.250 0.125 [8 per cell]
Zn 0.000 0.000 0.000 [4 per cell]
Br 0.000 0.000 0.500 [4 per cell]

Properties
E_form (uncorrected) = 57.0 kJ per mole of atoms
final energy = -2.01 eV per atom
density of states at the Fermi level = 0.62 states/eV/atom
energy above the lowest structure with this stoichiometry = 552.9 meV/atom